# 1
Here is a relaxed structure of LiAsW2 from Alexandria. Energies are from GGA-PBEsol.

Unit cell a=3.386 b=4.247 c=4.814 alpha=116.18 beta=110.59 gamma=90.00
Fractional coordinates of all 4 atoms:
As 0.509 0.509 0.017
Li 0.239 0.739 0.477
W 0.000 0.000 0.999
W 0.753 0.253 0.506

Space group: Imm2, No. 44
DOS at the Fermi energy in states/eV per atom: 0.56
ΔH_f (0 K) in eV per formula unit: 1.280
Total magnetization in μB/atom: 0.00

---

# 2
Here is a relaxed structure of LiAsW2 from Alexandria. Energies are from GGA-PBEsol.

Unit cell a=2.750 b=2.750 c=8.889 alpha=90.00 beta=90.00 gamma=111.83
Fractional coordinates of all 4 atoms:
As 0.500 0.500 0.500
Li 0.500 0.500 0.000
W 0.000 0.000 0.266
W 0.000 0.000 0.734

Space group: Cmmm, No. 65
DOS at the Fermi energy in states/eV per atom: 0.62
ΔH_f (0 K) in eV per formula unit: 2.453
Total magnetization in μB/atom: 0.00